Entry 1:
## Be2CdAs (PBE-GGA)

Data for crystalline Be2CdAs at its relaxed geometry.

Lattice parameters (Å, degrees): 3.9921 3.9921 5.7427 99.17 99.17 51.83
Last column: nearest neighbours and their distance in Å.
Element x y z (fractional)
Be1 0.2749 0.2749 0.1243  3 Be 2.10-2.34, 2 As 2.24
Cd1 0.5733 0.5733 0.4208  3 Be 2.49-2.68, 1 As 2.67
Be2 0.9782 0.9782 0.0642  3 Be 2.10-2.34, 1 As 2.24
As1 0.6736 0.6736 0.8907  3 Be 2.24

Output
Crystal system: monoclinic
N(E_F) (states/eV/atom): 0.339
Symmetry: Cm
E above lowest polymorph (meV/atom): 16
ΔH_f (0 K) (eV per atom): 0.216
Total magnetization (μB/atom): 0.0000


Entry 2:
## CsBeHI2 (PBE-GGA)

Data for crystalline CsBeHI2 at its relaxed geometry.

Lattice parameters (Å, degrees): 6.0216 3.9108 6.0216 90.00 90.00 90.00
Last column: nearest neighbours and their distance in Å.
Element x y z (fractional)
I1 0.5000 0.0000 0.0000  2 Be 3.01
I2 0.0000 0.0000 0.5000  2 Be 3.01
Cs1 0.5000 0.5000 0.5000  8 I 3.59, 2 Cs 3.91
Be1 0.0000 0.0000 0.0000  2 H 1.96
H1 0.0000 0.5000 0.0000  2 Be 1.96

Output
Crystal system: tetragonal
N(E_F) (states/eV/atom): 0.021
Symmetry: P4/mmm
E (eV/atom): -2.448
Total magnetization (μB/atom): 0.0000


Entry 3:
## PrSm2Br6 (PBE-GGA)

Data for crystalline PrSm2Br6 at its relaxed geometry.

Lattice parameters (Å, degrees): 7.0862 7.0862 8.2220 64.47 64.47 60.00
Last column: nearest neighbours and their distance in Å.
Element x y z (fractional)
Br1 0.6001 0.9053 0.2462  2 Sm 2.95-2.98, 1 Pr 3.03
Br2 0.7557 0.4134 0.7515  2 Sm 2.94-2.96, 1 Pr 2.97
Pr1 0.3342 0.3342 0.9976  6 Br 2.97-3.03
Br3 0.4134 0.0793 0.7515  2 Sm 2.94-2.96, 1 Pr 2.97
Br4 0.9053 0.2484 0.2462  2 Sm 2.95-2.98, 1 Pr 3.03
Sm1 0.4977 0.4977 0.5069  6 Br 2.96-2.98
Br5 0.0793 0.7557 0.7515  2 Sm 2.94-2.96, 1 Pr 2.97
Br6 0.2484 0.6001 0.2462  2 Sm 2.95-2.98, 1 Pr 3.03
Sm2 0.8316 0.8316 0.5053  6 Br 2.94-2.95

Output
Crystal system: trigonal
N(E_F) (states/eV/atom): 0.599
Symmetry: R3
ΔE_f (raw) (eV per atom): -1.55
Total magnetization (μB/atom): 0.1164


Entry 4:
## Ac2CuAgPd6 (PBE-GGA)

Data for crystalline Ac2CuAgPd6 at its relaxed geometry.

Lattice parameters (Å, degrees): 5.4534 8.9898 6.9125 48.03 66.78 90.04
Last column: nearest neighbours and their distance in Å.
Element x y z (fractional)
Pd1 0.2347 0.7236 0.0318  1 Cu 2.55, 1 Ag 2.71, 4 Pd 2.71-2.80
Ag1 0.0000 0.0000 0.0000  6 Pd 2.71-2.75
Pd2 0.2516 0.0764 0.4952  1 Cu 2.64, 4 Pd 2.75-2.80, 1 Ag 2.75
Pd3 0.7484 0.9236 0.5048  1 Cu 2.64, 4 Pd 2.75-2.80, 1 Ag 2.75
Pd4 0.7653 0.2763 0.9683  1 Cu 2.55, 1 Ag 2.71, 4 Pd 2.71-2.80
Ac1 0.7515 0.2781 0.4973  7 Pd 3.07-3.28
Cu1 0.5000 0.5000 0.0000  6 Pd 2.55-2.64
Pd5 0.2687 0.2768 0.9663  1 Cu 2.55, 1 Ag 2.71, 4 Pd 2.71-2.80
Pd6 0.7313 0.7232 0.0337  1 Cu 2.55, 1 Ag 2.71, 4 Pd 2.71-2.80
Ac2 0.2485 0.7219 0.5027  7 Pd 3.07-3.28

Output
Crystal system: triclinic
N(E_F) (states/eV/atom): 0.293
Symmetry: P-1
ΔH_f (0 K) (eV per atom): -0.511
Total magnetization (μB/atom): 0.0000


Entry 5:
## TbGdMgAl (PBE-GGA)

Data for crystalline TbGdMgAl at its relaxed geometry.

Lattice parameters (Å, degrees): 5.2336 5.2336 5.2336 60.00 60.00 60.00
Last column: nearest neighbours and their distance in Å.
Element x y z (fractional)
Tb1 0.2500 0.2500 0.2500  4 Mg 3.20, 4 Al 3.20
Mg1 0.0000 0.0000 0.0000  4 Tb 3.20, 4 Gd 3.20
Al1 0.5000 0.5000 0.5000  4 Gd 3.20, 4 Tb 3.20
Gd1 0.7500 0.7500 0.7500  4 Mg 3.20, 4 Al 3.20

Output
Crystal system: cubic
N(E_F) (states/eV/atom): 0.662
Symmetry: F-43m
ΔH_f (0 K) (eV per atom): -0.271
Total magnetization (μB/atom): 1.8242


Entry 6:
## Ca6Ag3Ge5 (PBE-GGA)

Data for crystalline Ca6Ag3Ge5 at its relaxed geometry.

Lattice parameters (Å, degrees): 5.9279 5.9279 14.4386 71.77 71.77 45.21
Last column: nearest neighbours and their distance in Å.
Element x y z (fractional)
Ge1 0.8624 0.8624 0.0452  4 Ag 2.64-2.79
Ge2 0.8965 0.8965 0.5736  2 Ge 2.58
Ge3 0.0260 0.0260 0.2741  1 Ge 2.61, 1 Ag 2.71
Ge4 0.9753 0.9753 0.7232  1 Ge 2.58, 1 Ag 2.69
Ca1 0.3978 0.3978 0.4231  7 Ge 3.12-3.24
Ag1 0.7664 0.7664 0.8890  2 Ge 2.69-2.79, 2 Ag 2.78
Ge5 0.1084 0.1084 0.4236  2 Ge 2.58-2.61
Ca2 0.6048 0.6048 0.5754  7 Ge 3.12-3.23
Ca3 0.4633 0.4633 0.8825  6 Ag 3.12-3.38, 4 Ge 3.19-3.21
Ca4 0.5351 0.5351 0.1203  5 Ge 3.16-3.37, 6 Ag 3.17-3.44
Ag2 0.2446 0.2446 0.1137  3 Ge 2.64-2.71
Ca5 0.2627 0.2627 0.7244  5 Ge 3.15-3.25, 3 Ag 3.20-3.30
Ag3 0.1170 0.1170 0.9580  1 Ge 2.64, 2 Ag 2.78
Ca6 0.7396 0.7396 0.2739  6 Ge 3.11-3.26, 2 Ag 3.23

Output
Crystal system: monoclinic
N(E_F) (states/eV/atom): 0.425
Symmetry: Cm
ΔH_f (0 K) (eV per atom): -0.547
Total magnetization (μB/atom): 0.0000


Entry 7:
## La2BeCd (PBE-GGA)

Data for crystalline La2BeCd at its relaxed geometry.

Lattice parameters (Å, degrees): 5.9879 5.9879 5.9879 135.38 135.38 64.95
Last column: nearest neighbours and their distance in Å.
Element x y z (fractional)
Cd1 0.7500 0.2500 0.5000  8 La 3.21-3.40, 4 Be 3.40
La1 0.0000 0.0000 0.0000  4 Be 3.21, 4 Cd 3.40, 4 La 3.40
Be1 0.5000 0.5000 0.0000  8 La 3.21-3.40, 4 Cd 3.40
La2 0.2500 0.7500 0.5000  4 Cd 3.21, 4 La 3.40, 4 Be 3.40

Output
Crystal system: tetragonal
N(E_F) (states/eV/atom): 0.947
Symmetry: I-4m2
E above lowest polymorph (meV/atom): 194
ΔH_f (0 K) (eV per atom): 0.124
Total magnetization (μB/atom): 0.0000


Entry 8:
## CsPaTa2S8 (PBE-GGA)

Data for crystalline CsPaTa2S8 at its relaxed geometry.

Lattice parameters (Å, degrees): 6.6336 6.6336 10.5803 71.73 71.73 60.00
Last column: nearest neighbours and their distance in Å.
Element x y z (fractional)
S1 0.0512 0.3776 0.8418  1 Ta 2.32
S2 0.7293 0.0512 0.8418  1 Ta 2.32
S3 0.6224 0.2707 0.1582  1 Ta 2.32
Pa1 0.0000 0.0000 0.0000  6 S 2.66
S4 0.2707 0.9488 0.1582  1 Ta 2.32
S5 0.3776 0.7293 0.8418  1 Ta 2.32
S6 0.1850 0.1850 0.4449  1 Ta 2.20
Ta1 0.7407 0.7407 0.7778  4 S 2.20-2.32
S7 0.9488 0.6224 0.1582  1 Ta 2.32
S8 0.8150 0.8150 0.5551  1 Ta 2.20
Ta2 0.2593 0.2593 0.2222  4 S 2.20-2.32
Cs1 0.5000 0.5000 0.5000  12 S 3.87-4.05

Output
Crystal system: trigonal
Symmetry: R-3
ΔE_f (raw) (eV per atom): -1.09
Total magnetization (μB/atom): 0.0000